Record 1
Compound: VFe2GeN
Source: Alexandria
Functional: GGA-PBE
Structure: optimized geometry

Calculated values
Its total energy is -8.1084 eV per atom. As for the formation energy from raw total energies: -0.311 eV/atom. For the volume, the calculation gives 11.39 A^3/atom. As for the crystal system: tetragonal.

a b c (Å): 3.812 3.812 3.919
angles (deg): 90.00 90.00 90.00
Atoms (fractional coordinates):
V (0.000, 0.000, 0.000)
Fe (0.000, 0.500, 0.500)
Fe (0.500, 0.000, 0.500)
Ge (0.500, 0.500, 0.000)
N (0.000, 0.000, 0.500)


Record 2
Compound: Fe2GeWN
Source: Alexandria
Functional: GGA-PBE
Structure: optimized geometry

Calculated values
Its total energy is -8.5687 eV per atom. As for the formation energy from raw total energies: -0.004 eV/atom. For the volume, the calculation gives 12.05 A^3/atom. As for the crystal system: tetragonal.

a b c (Å): 3.846 3.846 4.075
angles (deg): 90.00 90.00 90.00
Atoms (fractional coordinates):
Fe (0.000, 0.500, 0.000)
Fe (0.500, 0.000, 0.000)
Ge (0.000, 0.000, 0.500)
W (0.500, 0.500, 0.500)
N (0.500, 0.500, 0.000)


Record 3
Compound: YFe2GeN
Source: Alexandria
Functional: GGA-PBE
Structure: optimized geometry

Calculated values
Its total energy is -5.6504 eV per atom. As for the formation energy from raw total energies: 1.616 eV/atom. As for the offset from the most stable computed form: 2290.3 meV/atom. For the volume, the calculation gives 20.00 A^3/atom. As for the crystal system: tetragonal.

a b c (Å): 4.928 4.928 4.118
angles (deg): 90.00 90.00 90.00
Atoms (fractional coordinates):
Y (0.000, 0.000, 0.000)
Fe (0.000, 0.500, 0.000)
Fe (0.500, 0.000, 0.000)
Ge (0.500, 0.500, 0.500)
N (0.000, 0.000, 0.500)


Record 4
Compound: YFe2GeN
Source: Alexandria
Functional: GGA-PBE
Structure: optimized geometry

Calculated values
Its total energy is -7.9407 eV per atom. As for the formation energy from raw total energies: -0.674 eV/atom. As for the offset from the most stable computed form: 0.0 meV/atom. For the volume, the calculation gives 13.58 A^3/atom. As for the crystal system: orthorhombic.

a b c (Å): 5.631 5.631 6.875
angles (deg): 90.00 90.00 141.46
Atoms (fractional coordinates):
Y (0.048, 0.952, 0.750)
Y (0.952, 0.048, 0.250)
Fe (0.340, 0.660, 0.557)
Fe (0.340, 0.660, 0.943)
Fe (0.660, 0.340, 0.057)
Fe (0.660, 0.340, 0.443)
Ge (0.230, 0.770, 0.250)
Ge (0.770, 0.230, 0.750)
N (0.500, 0.500, 0.000)
N (0.500, 0.500, 0.500)


Record 5
Compound: NaFeGe2
Source: Alexandria
Functional: GGA-PBE
Structure: optimized geometry

Calculated values
Its total energy is -4.7870 eV per atom. As for the offset from the most stable computed form: 0.0 meV/atom. As for the energy relative to the elements: -0.03 eV per atom. For the volume, the calculation gives 16.51 A^3/atom. As for the crystal system: tetragonal.

a b c (Å): 2.907 2.907 7.817
angles (deg): 90.00 90.00 90.00
Atoms (fractional coordinates):
Na (0.000, 0.000, 0.000)
Fe (0.000, 0.000, 0.500)
Ge (0.500, 0.500, 0.311)
Ge (0.500, 0.500, 0.689)


Record 6
Compound: NaFeGe2
Source: Alexandria
Functional: GGA-PBE
Structure: optimized geometry

Calculated values
Its total energy is -4.5416 eV per atom. As for the offset from the most stable computed form: 245.4 meV/atom. As for the energy relative to the elements: 0.21 eV per atom. For the volume, the calculation gives 26.41 A^3/atom. As for the crystal system: tetragonal.

a b c (Å): 7.916 7.916 7.916
angles (deg): 139.02 139.02 59.34
Atoms (fractional coordinates):
Na (0.375, 0.625, 0.750)
Na (0.625, 0.375, 0.250)
Fe (0.125, 0.875, 0.250)
Fe (0.875, 0.125, 0.750)
Ge (0.000, 0.000, 0.000)
Ge (0.000, 0.000, 0.500)
Ge (0.000, 0.500, 0.000)
Ge (0.500, 0.000, 0.500)


Record 7
Compound: NaFe2Ge2
Source: Alexandria
Functional: GGA-PBE
Structure: optimized geometry

Calculated values
Its total energy is -5.2847 eV per atom. As for the offset from the most stable computed form: 231.2 meV/atom. As for the energy relative to the elements: 0.21 eV per atom. For the volume, the calculation gives 16.81 A^3/atom. As for the crystal system: tetragonal.

a b c (Å): 5.252 5.252 5.252
angles (deg): 129.54 129.54 74.15
Atoms (fractional coordinates):
Na (0.000, 0.000, 0.000)
Fe (0.369, 0.369, 0.000)
Fe (0.631, 0.631, 0.000)
Ge (0.250, 0.750, 0.500)
Ge (0.750, 0.250, 0.500)


Record 8
Compound: Na2FeGe2
Source: Alexandria
Functional: GGA-PBE
Structure: optimized geometry

Calculated values
Its total energy is -3.9507 eV per atom. As for the energy relative to the elements: 0.12 eV per atom. For the volume, the calculation gives 20.15 A^3/atom. As for the crystal system: tetragonal.

a b c (Å): 6.388 6.388 4.939
angles (deg): 90.00 90.00 90.00
Atoms (fractional coordinates):
Na (0.173, 0.327, 0.000)
Na (0.327, 0.827, 0.000)
Na (0.673, 0.173, 0.000)
Na (0.827, 0.673, 0.000)
Fe (0.000, 0.000, 0.500)
Fe (0.500, 0.500, 0.500)
Ge (0.142, 0.642, 0.500)
Ge (0.358, 0.142, 0.500)
Ge (0.642, 0.858, 0.500)
Ge (0.858, 0.358, 0.500)


Record 9
Compound: NaFe3Ge
Source: Alexandria
Functional: GGA-PBE
Structure: optimized geometry

Calculated values
Its total energy is -5.4191 eV per atom. As for the offset from the most stable computed form: 0.0 meV/atom. As for the energy relative to the elements: 0.85 eV per atom. For the volume, the calculation gives 19.02 A^3/atom. As for the crystal system: cubic.

a b c (Å): 4.565 4.565 4.565
angles (deg): 90.00 90.00 90.00
Atoms (fractional coordinates):
Na (0.000, 0.000, 0.000)
Fe (0.000, 0.500, 0.500)
Fe (0.500, 0.000, 0.500)
Fe (0.500, 0.500, 0.000)
Ge (0.500, 0.500, 0.500)


Record 10
Compound: NaFe2Ge2
Source: Alexandria
Functional: GGA-PBE
Structure: optimized geometry

Calculated values
Its total energy is -5.4282 eV per atom. As for the offset from the most stable computed form: 87.7 meV/atom. As for the energy relative to the elements: 0.07 eV per atom. For the volume, the calculation gives 14.08 A^3/atom. As for the crystal system: tetragonal.

a b c (Å): 7.288 7.288 2.651
angles (deg): 90.00 90.00 90.00
Atoms (fractional coordinates):
Na (0.000, 0.000, 0.000)
Na (0.500, 0.500, 0.000)
Fe (0.134, 0.366, 0.000)
Fe (0.366, 0.866, 0.000)
Fe (0.634, 0.134, 0.000)
Fe (0.866, 0.634, 0.000)
Ge (0.158, 0.658, 0.500)
Ge (0.342, 0.158, 0.500)
Ge (0.658, 0.842, 0.500)
Ge (0.842, 0.342, 0.500)


Record 11
Compound: NaFe2Ge2
Source: Alexandria
Functional: GGA-PBE
Structure: optimized geometry

Calculated values
Its total energy is -5.5159 eV per atom. As for the offset from the most stable computed form: 0.0 meV/atom. As for the energy relative to the elements: -0.02 eV per atom. For the volume, the calculation gives 16.09 A^3/atom. As for the crystal system: tetragonal.

a b c (Å): 6.191 6.191 6.191
angles (deg): 144.29 144.29 51.40
Atoms (fractional coordinates):
Na (0.000, 0.000, 0.000)
Fe (0.250, 0.750, 0.500)
Fe (0.750, 0.250, 0.500)
Ge (0.383, 0.383, 0.000)
Ge (0.617, 0.617, 0.000)


Record 12
Compound: NaFeGe2
Source: Alexandria
Functional: GGA-PBE
Structure: optimized geometry

Calculated values
Its total energy is -4.4260 eV per atom. As for the offset from the most stable computed form: 361.0 meV/atom. As for the energy relative to the elements: 0.33 eV per atom. For the volume, the calculation gives 14.95 A^3/atom. As for the crystal system: cubic.

a b c (Å): 4.390 4.390 4.390
angles (deg): 60.00 60.00 60.00
Atoms (fractional coordinates):
Na (0.000, 0.000, 0.000)
Fe (0.500, 0.500, 0.500)
Ge (0.250, 0.250, 0.250)
Ge (0.750, 0.750, 0.750)